# 1
Material: MnCo5
Method: DFT, GGA-PBE
State: optimized geometry

abc: 2.471 2.471 10.590
angles: 90.00 90.00 90.00
Positions (direct):
Mn (0.000, 0.000, 0.000)
Co (0.000, 0.000, 0.333)
Co (0.000, 0.000, 0.667)
Co (0.500, 0.500, 0.165)
Co (0.500, 0.500, 0.500)
Co (0.500, 0.500, 0.835)

Calculated formation energy, eV/atom: 0.058
Raw total energy, eV/cell: -44.3
D(E_F), states/eV/cell: 8.7
Symmetry: P4/mmm, No. 123

# 2
Material: Mn3Co
Method: DFT, GGA-PBE
State: optimized geometry

abc: 4.304 4.304 4.304
angles: 99.60 99.60 33.44
Positions (direct):
Mn (0.000, 0.000, 0.000)
Mn (0.250, 0.250, 0.745)
Mn (0.750, 0.750, 0.255)
Co (0.500, 0.500, 0.500)

Calculated formation energy, eV/atom: 0.075
Raw total energy, eV/cell: -34.3
D(E_F), states/eV/cell: 4.9
Symmetry: C2/m, No. 12

# 3
Material: MnCo5
Method: DFT, GGA-PBE
State: optimized geometry

abc: 4.639 4.639 4.639
angles: 60.00 60.00 60.00
Positions (direct):
Mn (0.000, 0.000, 0.000)
Co (0.124, 0.625, 0.625)
Co (0.250, 0.250, 0.250)
Co (0.625, 0.124, 0.625)
Co (0.625, 0.625, 0.124)
Co (0.625, 0.625, 0.625)

Calculated formation energy, eV/atom: 0.141
Raw total energy, eV/cell: -43.9
D(E_F), states/eV/cell: 5.9
Symmetry: F-43m, No. 216